1.
This record from the Alexandria database describes a PBEsol-optimized structure of Hf3HSe. The functional is meta-GGA SCAN.

Summary:
Calculated density   8.819 g cm⁻³
Electronic total energy   -206.3 eV for the cell shown

a = 4.875 Å, b = 4.875 Å, c = 4.875 Å
α = 90.00°, β = 90.00°, γ = 90.00°
Space group Pm-3m (No. 221)
Inequivalent atoms, fractional coordinates:
Hf 0.000 0.000 0.500
H 0.500 0.500 0.500
Se 0.000 0.000 0.000

2.
This record from the Alexandria database describes a PBEsol-optimized structure of HfH2Se. The functional is meta-GGA SCAN.

Summary:
Calculated density   9.379 g cm⁻³
Electronic total energy   -279.2 eV for the cell shown

a = 3.4286 Å, b = 3.4286 Å, c = 13.5374 Å
α = 90.00°, β = 90.00°, γ = 120.00°
Space group R3m (No. 160, hexagonal axes)
Inequivalent atoms, fractional coordinates:
Hf 0.0000 0.0000 0.0000
H 0.0000 0.0000 0.3903
H 0.0000 0.0000 0.6902
Se 0.0000 0.0000 0.2016

3.
This record from the Alexandria database describes a PBEsol-optimized structure of HfHW2Se. The functional is meta-GGA SCAN.

Summary:
Calculated density   8.702 g cm⁻³
Electronic total energy   -212.4 eV for the cell shown

a = 4.916 Å, b = 4.916 Å, c = 4.943 Å
α = 90.00°, β = 90.00°, γ = 90.00°
Space group P4/mmm (No. 123)
Inequivalent atoms, fractional coordinates:
Hf 0.000 0.000 0.000
H 0.500 0.500 0.500
W 0.000 0.500 0.000
Se 0.000 0.000 0.500

4.
This record from the Alexandria database describes a PBEsol-optimized structure of Hf2SiH. The functional is meta-GGA SCAN.

Summary:
Calculated density   11.452 g cm⁻³
Electronic total energy   -567.2 eV for the cell shown

a = 6.458 Å, b = 6.458 Å, c = 5.370 Å
α = 90.00°, β = 90.00°, γ = 90.00°
Space group I4/mcm (No. 140)
Inequivalent atoms, fractional coordinates:
Hf 0.164 0.336 0.000
Si 0.000 0.000 0.250
H 0.000 0.500 0.250

5.
This record from the Alexandria database describes a PBEsol-optimized structure of Hf3SiH. The functional is meta-GGA SCAN.

Summary:
Calculated density   12.250 g cm⁻³
Electronic total energy   -203.2 eV for the cell shown

a = 4.246 Å, b = 4.246 Å, c = 4.246 Å
α = 90.00°, β = 90.00°, γ = 90.00°
Space group Pm-3m (No. 221)
Inequivalent atoms, fractional coordinates:
Hf 0.000 0.000 0.500
Si 0.500 0.500 0.500
H 0.000 0.000 0.000

6.
This record from the Alexandria database describes a PBEsol-optimized structure of Hf3SnH. The functional is meta-GGA SCAN.

Summary:
Calculated density   12.945 g cm⁻³
Electronic total energy   -229.3 eV for the cell shown

a = 4.380 Å, b = 4.380 Å, c = 4.380 Å
α = 90.00°, β = 90.00°, γ = 90.00°
Space group Pm-3m (No. 221)
Inequivalent atoms, fractional coordinates:
Hf 0.000 0.000 0.500
Sn 0.500 0.500 0.500
H 0.000 0.000 0.000

7.
This record from the Alexandria database describes a PBEsol-optimized structure of SrHfH3. The functional is meta-GGA SCAN.

Summary:
Calculated density   6.969 g cm⁻³
Electronic total energy   -96.3 eV for the cell shown

a = 4.003 Å, b = 4.003 Å, c = 4.003 Å
α = 90.00°, β = 90.00°, γ = 90.00°
Space group Pm-3m (No. 221)
Inequivalent atoms, fractional coordinates:
Sr 0.000 0.000 0.000
Hf 0.500 0.500 0.500
H 0.000 0.500 0.500

8.
This record from the Alexandria database describes a PBEsol-optimized structure of HfTaH2. The functional is meta-GGA SCAN.

Summary:
Calculated density   13.760 g cm⁻³
Electronic total energy   -537.7 eV for the cell shown

a = 5.588 Å, b = 5.588 Å, c = 5.588 Å
α = 90.00°, β = 90.00°, γ = 90.00°
Space group Fm-3m (No. 225)
Inequivalent atoms, fractional coordinates:
Hf 0.000 0.000 0.000
Ta 0.000 0.000 0.500
H 0.250 0.250 0.250

9.
This record from the Alexandria database describes a PBEsol-optimized structure of Hf2TaH2. The functional is meta-GGA SCAN.

Summary:
Calculated density   13.682 g cm⁻³
Electronic total energy   -400.2 eV for the cell shown

a = 3.112 Å, b = 3.112 Å, c = 13.529 Å
α = 90.00°, β = 90.00°, γ = 90.00°
Space group I4/mmm (No. 139)
Inequivalent atoms, fractional coordinates:
Hf 0.000 0.000 0.150
Ta 0.000 0.000 0.500
H 0.000 0.500 0.250

10.
This record from the Alexandria database describes a PBEsol-optimized structure of HfTc3H. The functional is meta-GGA SCAN.

Summary:
Calculated density   7.519 g cm⁻³
Electronic total energy   -158.2 eV for the cell shown

a = 4.711 Å, b = 4.711 Å, c = 4.711 Å
α = 90.00°, β = 90.00°, γ = 90.00°
Space group Pm-3m (No. 221)
Inequivalent atoms, fractional coordinates:
Hf 0.000 0.000 0.000
Tc 0.000 0.000 0.500
H 0.500 0.500 0.500

11.
This record from the Alexandria database describes a PBEsol-optimized structure of Hf2TcHW. The functional is meta-GGA SCAN.

Summary:
Calculated density   14.787 g cm⁻³
Electronic total energy   -234.5 eV for the cell shown

a = 4.609 Å, b = 4.609 Å, c = 3.382 Å
α = 90.00°, β = 90.00°, γ = 90.00°
Space group P4/mmm (No. 123)
Inequivalent atoms, fractional coordinates:
Hf 0.000 0.500 0.000
Tc 0.000 0.000 0.500
H 0.000 0.000 0.000
W 0.500 0.500 0.500

12.
This record from the Alexandria database describes a PBEsol-optimized structure of HfTe2H. The functional is meta-GGA SCAN.

Summary:
Calculated density   8.825 g cm⁻³
Electronic total energy   -561.2 eV for the cell shown

a = 6.891 Å, b = 6.891 Å, c = 6.891 Å
α = 90.00°, β = 90.00°, γ = 90.00°
Space group Fm-3m (No. 225)
Inequivalent atoms, fractional coordinates:
Hf 0.000 0.000 0.000
Te 0.250 0.250 0.250
H 0.000 0.000 0.500

The highest electronic total energy belongs to which entry? SrHfH3

Which value of electronic total energy does entry 8 give? -537.7 eV for the cell shown

The highest calculated density belongs to which entry? Hf2TcHW

Look up the electronic total energy of the third one. -212.4 eV for the cell shown